# PBE GaHg2Sb, relaxed
# Total magnetization: 0.00 μB per atom
# Offset from the most stable computed form: 11.9 meV/atom
# Calculated total energy: -1.802 eV/atom
# Crystal system: tetragonal
# Theoretical density: 9.71 g cm⁻³
# ΔE_f (raw): 0.136 eV per atom
data_GaHg2Sb
_chemical_formula_sum 'Ga4 Hg8 Sb4'
_cell_length_a 8.1597
_cell_length_b 8.1597
_cell_length_c 6.0902
_cell_angle_alpha 90.00
_cell_angle_beta 90.00
_cell_angle_gamma 90.00
_symmetry_space_group_name_H-M 'P 1'
_symmetry_Int_Tables_number 1
loop_
_symmetry_equiv_pos_as_xyz
'x,y,z'
loop_
_atom_site_label
_atom_site_type_symbol
_atom_site_fract_x
_atom_site_fract_y
_atom_site_fract_z
Ga1 Ga 0.0000 0.0000 0.0000
Ga2 Ga 0.0000 0.5000 0.2500
Ga3 Ga 0.5000 0.0000 0.7500
Ga4 Ga 0.5000 0.5000 0.5000
Hg1 Hg 0.2364 0.2500 0.1250
Hg2 Hg 0.2500 0.7364 0.3750
Hg3 Hg 0.2500 0.7636 0.8750
Hg4 Hg 0.2636 0.2500 0.6250
Hg5 Hg 0.7364 0.7500 0.6250
Hg6 Hg 0.7500 0.2364 0.8750
Hg7 Hg 0.7500 0.2636 0.3750
Hg8 Hg 0.7636 0.7500 0.1250
Sb1 Sb 0.0000 0.0000 0.5000
Sb2 Sb 0.0000 0.5000 0.7500
Sb3 Sb 0.5000 0.0000 0.2500
Sb4 Sb 0.5000 0.5000 0.0000

***

# PBE Cr2PdSe4, relaxed
# Total magnetization: 0.69 μB per atom
# Calculated total energy: -5.926 eV/atom
# Crystal system: tetragonal
# Theoretical density: 6.01 g cm⁻³
# ΔE_f (raw): -0.444 eV per atom
data_Cr2PdSe4
_chemical_formula_sum 'Cr4 Pd2 Se8'
_cell_length_a 7.4354
_cell_length_b 7.4354
_cell_length_c 7.4354
_cell_angle_alpha 119.93
_cell_angle_beta 119.93
_cell_angle_gamma 90.12
_symmetry_space_group_name_H-M 'P 1'
_symmetry_Int_Tables_number 1
loop_
_symmetry_equiv_pos_as_xyz
'x,y,z'
loop_
_atom_site_label
_atom_site_type_symbol
_atom_site_fract_x
_atom_site_fract_y
_atom_site_fract_z
Cr1 Cr 0.0000 0.0000 0.0000
Cr2 Cr 0.0000 0.0000 0.5000
Cr3 Cr 0.0000 0.5000 0.0000
Cr4 Cr 0.5000 0.0000 0.5000
Pd1 Pd 0.3750 0.6250 0.7500
Pd2 Pd 0.6250 0.3750 0.2500
Se1 Se 0.2170 0.2393 0.9777
Se2 Se 0.2384 0.7607 0.4777
Se3 Se 0.2393 0.2170 0.4777
Se4 Se 0.2393 0.7616 0.0223
Se5 Se 0.7607 0.2384 0.9777
Se6 Se 0.7607 0.7830 0.5223
Se7 Se 0.7616 0.2393 0.5223
Se8 Se 0.7830 0.7607 0.0223

***

# PBE BeSCl2F, relaxed
# Total magnetization: 0.33 μB per atom
# Offset from the most stable computed form: 0.0 meV/atom
# Calculated total energy: -2.734 eV/atom
# Crystal system: tetragonal
# Theoretical density: 2.48 g cm⁻³
# ΔE_f (raw): -0.050 eV per atom
data_BeSCl2F
_chemical_formula_sum 'Be1 S1 Cl2 F1'
_cell_length_a 4.2267
_cell_length_b 4.2267
_cell_length_c 4.9160
_cell_angle_alpha 90.00
_cell_angle_beta 90.00
_cell_angle_gamma 90.00
_symmetry_space_group_name_H-M 'P 1'
_symmetry_Int_Tables_number 1
loop_
_symmetry_equiv_pos_as_xyz
'x,y,z'
loop_
_atom_site_label
_atom_site_type_symbol
_atom_site_fract_x
_atom_site_fract_y
_atom_site_fract_z
Be1 Be 0.0000 0.0000 0.0000
S1 S 0.0000 0.0000 0.5000
Cl1 Cl 0.0000 0.5000 0.0000
Cl2 Cl 0.5000 0.0000 0.0000
F1 F 0.5000 0.5000 0.5000